4
Lattice="-0.6637 -5.3212 0.0221 4.4142 -2.8072 1.1793 -3.2187 3.8211 1.9483" Properties=species:S:1:pos:R:3 comment="Ta2TlRe (GGA-PBE, relaxed)" magnetic_moment_mub_per_fu=0.000 dft_energy_ev_per_atom=-9.2650 e_form_ev_per_atom=0.36 volume_a3_per_atom=18.19 n_ef_per_ev_cell=2.5 de_polymorph_mev_per_atom=159.7 pbc="T T T"
Re 1.5354 -1.5251 1.8641
Ta 0.0656 -0.1422 0.0210
Ta 1.8097 -3.9221 0.5797
Tl -1.0035 -2.7822 1.2856